A plane-wave DFT calculation with GGA-PBE was carried out for crystalline Pm2GeP3Pt4 at its relaxed geometry.

a = 4.2705 Å, b = 4.2705 Å, c = 9.9113 Å
α = 90.00°, β = 90.00°, γ = 90.00°
With the nearest neighbours (Å) after each atom.
Atoms (fractional coordinates):
Pm (0.5000, 0.0000, 0.2465)  6 P 3.23-3.30, 8 Pt 3.24-3.26, 2 Ge 3.30
Pm (0.0000, 0.5000, 0.7535)  6 P 3.23-3.30, 8 Pt 3.24-3.26, 2 Ge 3.30
Ge (0.5000, 0.5000, 0.5000)  4 Pt 2.49
Pt (0.5000, 0.5000, 0.0000)  4 P 2.51
Pt (0.5000, 0.0000, 0.6302)  3 P 2.36-2.49, 2 Ge 2.49
Pt (0.0000, 0.0000, 0.0000)  4 P 2.51
Pt (0.0000, 0.5000, 0.3698)  3 P 2.36-2.49, 2 Ge 2.49
P (0.0000, 0.0000, 0.5000)  4 Pt 2.49
P (0.5000, 0.0000, 0.8678)  5 Pt 2.36-2.51
P (0.0000, 0.5000, 0.1322)  5 Pt 2.36-2.51

Calculated formation energy in eV/atom: -0.95
Calculated total energy in eV per atom: -6.4025